## P
# BeBOF2

Crystalline BeBOF2 at its relaxed geometry (GGA-PBE, the Alexandria database).

Lattice parameters (Å, degrees): 3.078 3.078 5.081 90.00 90.00 90.00
Space group P4/mmm (No. 123)
Inequivalent atoms, fractional coordinates:
Be: 0.000 0.000 0.000 [1 per cell]
B: 0.500 0.500 0.500 [1 per cell]
O: 0.000 0.000 0.500 [1 per cell]
F: 0.000 0.500 0.000 [2 per cell]

- N(E_F): 0.81 states/eV/f.u.
- Volume: 9.630 Å³/atom



## Q
# BeBOF2

Crystalline BeBOF2 at its relaxed geometry (GGA-PBE, the Alexandria database).

Lattice parameters (Å, degrees): 4.239 4.239 2.607 90.00 90.00 90.00
Space group P4/mmm (No. 123)
Inequivalent atoms, fractional coordinates:
Be: 0.000 0.000 0.000 [1 per cell]
B: 0.500 0.500 0.500 [1 per cell]
O: 0.500 0.500 0.000 [1 per cell]
F: 0.000 0.500 0.500 [2 per cell]

- N(E_F): 0.93 states/eV/f.u.
- Volume: 9.369 Å³/atom



Which is most stable, and by how much? Q, by 0.174 eV/atom.



## P
# BeFeB2

Crystalline BeFeB2 at its relaxed geometry (GGA-PBE, the Alexandria database).

Lattice parameters (Å, degrees): 3.2062 3.2062 9.7363 90.00 90.00 120.00
Space group R-3m (No. 166, hexagonal axes)
Inequivalent atoms, fractional coordinates:
Be: 0.0000 0.0000 0.0000 [3 per cell]
Fe: 0.0000 0.0000 0.5000 [3 per cell]
B: 0.0000 0.0000 0.2869 [6 per cell]

- N(E_F): 2.13 states/eV/f.u.
- Volume: 7.223 Å³/atom



## Q
# BeFeB2

Crystalline BeFeB2 at its relaxed geometry (GGA-PBE, the Alexandria database).

Lattice parameters (Å, degrees): 2.802 6.073 3.365 90.00 90.00 90.00
Space group Pmmn (No. 59, origin choice 2)
Inequivalent atoms, fractional coordinates:
Be: 0.250 0.250 0.175 [2 per cell]
Fe: 0.250 0.750 0.335 [2 per cell]
B: 0.250 0.509 0.815 [4 per cell]

- N(E_F): 0.74 states/eV/f.u.
- Volume: 7.156 Å³/atom



Which is most stable, and by how much? Q, by 0.103 eV/atom.



## P
# BeFeB2

Crystalline BeFeB2 at its relaxed geometry (GGA-PBE, the Alexandria database).

Lattice parameters (Å, degrees): 3.069 3.069 3.022 90.00 90.00 90.00
Space group P4/mmm (No. 123)
Inequivalent atoms, fractional coordinates:
Be: 0.000 0.000 0.000 [1 per cell]
Fe: 0.500 0.500 0.000 [1 per cell]
B: 0.000 0.500 0.500 [2 per cell]

- N(E_F): 2.29 states/eV/f.u.
- Volume: 7.116 Å³/atom



## Q
# BeFeB2

Crystalline BeFeB2 at its relaxed geometry (GGA-PBE, the Alexandria database).

Lattice parameters (Å, degrees): 5.512 5.512 4.201 90.00 90.00 90.00
Space group I-42d (No. 122)
Inequivalent atoms, fractional coordinates:
Be: 0.000 0.000 0.000 [4 per cell]
Fe: 0.000 0.000 0.500 [4 per cell]
B: 0.237 0.750 0.125 [8 per cell]

- N(E_F): 2.81 states/eV/f.u.
- Volume: 7.977 Å³/atom



Which is most stable, and by how much? P, by 0.534 eV/atom.